# Cd2Pd13

Crystalline Cd2Pd13 at its relaxed geometry (PBE-GGA, the Alexandria database).

Cell: 7.351 7.351 7.792 Å, 61.86 61.86 60.00°
Positions (direct):
Cd: 0.265 0.265 0.205
Cd: 0.735 0.735 0.795
Pd: 0.500 0.500 0.500
Pd: 0.484 0.853 0.178
Pd: 0.484 0.484 0.178
Pd: 0.853 0.484 0.178
Pd: 0.147 0.516 0.822
Pd: 0.516 0.147 0.822
Pd: 0.516 0.516 0.822
Pd: 0.262 0.897 0.578
Pd: 0.262 0.262 0.578
Pd: 0.897 0.262 0.578
Pd: 0.103 0.738 0.422
Pd: 0.738 0.103 0.422
Pd: 0.738 0.738 0.422

Output
- Size of the total moment: 0.00 Bohr magnetons per cell
- Formation energy: 0.31 eV/atom
- Crystal system: trigonal